(1)
Here is a geometry-optimized La4HgRh structure from Alexandria. Energies are from PBE.

Space group: F-43m, No. 216
ΔE_f: -490 meV per atom
Total energy: -5.050 eV/atom
Crystal system: cubic

Cell lengths 10.0799, 10.0799, 10.0799 Å; angles 60.00, 60.00, 60.00 degrees
Element x y z (fractional)
La 0.4008 0.4008 0.7975
La 0.4008 0.4008 0.4008
La 0.4008 0.7975 0.4008
Rh 0.6088 0.6088 0.1736
La 0.8110 0.1890 0.1890
Rh 0.1736 0.6088 0.6088
Rh 0.6088 0.6088 0.6088
La 0.8110 0.1890 0.8110
La 0.8110 0.8110 0.1890
Hg 0.1666 0.1666 0.1666
La 0.7975 0.4008 0.4008
La 0.1890 0.8110 0.8110
La 0.9416 0.5584 0.5584
Rh 0.6088 0.1736 0.6088
La 0.5584 0.5584 0.9416
La 0.5584 0.9416 0.5584
La 0.1890 0.8110 0.1890
La 0.9416 0.5584 0.9416
Hg 0.1666 0.5001 0.1666
La 0.9416 0.9416 0.5584
Hg 0.1666 0.1666 0.5001
La 0.1890 0.1890 0.8110
Hg 0.5001 0.1666 0.1666
La 0.5584 0.9416 0.9416

(2)
Here is a geometry-optimized GdHfCdIn structure from Alexandria. Energies are from PBE.

Space group: F-43m, No. 216
ΔE_f: -143 meV per atom
Total energy: -7.065 eV/atom
Crystal system: cubic

Cell lengths 5.1436, 5.1436, 5.1436 Å; angles 60.00, 60.00, 60.00 degrees
Element x y z (fractional)
Hf 0.5000 0.5000 0.5000
In 0.7500 0.7500 0.7500
Cd 0.2500 0.2500 0.2500
Gd 0.0000 0.0000 0.0000

(3)
Here is a geometry-optimized Ba2HgSb structure from Alexandria. Energies are from PBE.

Space group: P4/mmm, No. 123
Formation energy from raw total energies: -626 meV/atom
Total energy: -2.694 eV/atom
Crystal system: tetragonal

Cell lengths 5.0480, 5.0501, 7.0499 Å; angles 90.00, 90.00, 90.00 degrees
Element x y z (fractional)
Hg 0.0000 0.0000 0.3752
Sb 0.5000 0.5000 0.8748
Ba 0.0000 0.0000 0.8751
Ba 0.5000 0.5000 0.3749

(4)
Here is a geometry-optimized Zr2GaTc2 structure from Alexandria. Energies are from PBE.

Space group: P4/mbm, No. 127
ΔE_f: -209 meV per atom
Total energy: -8.380 eV/atom
Crystal system: tetragonal

Cell lengths 6.6262, 6.6262, 4.2355 Å; angles 90.00, 90.00, 90.00 degrees
Element x y z (fractional)
Ga 0.0000 0.0000 0.0000
Tc 0.3719 0.8719 0.0000
Tc 0.6281 0.1281 0.0000
Ga 0.5000 0.5000 0.0000
Tc 0.1281 0.3719 0.0000
Zr 0.1837 0.6837 0.5000
Zr 0.6837 0.8163 0.5000
Tc 0.8719 0.6281 0.0000
Zr 0.3163 0.1837 0.5000
Zr 0.8163 0.3163 0.5000

(5)
Here is a geometry-optimized Tb6Mg5In structure from Alexandria. Energies are from PBE.

Space group: Cmmm, No. 65
ΔE_f: -165 meV per atom
Total energy: -3.373 eV/atom
Crystal system: orthorhombic

Cell lengths 5.3577, 7.5938, 8.4910 Å; angles 90.00, 71.61, 90.00 degrees
Element x y z (fractional)
Mg 0.6671 0.5000 0.6658
In 0.0000 0.0000 0.0000
Mg 0.3329 0.5000 0.3342
Mg 0.0000 0.5000 0.0000
Tb 0.5000 0.2494 0.0000
Tb 0.8338 0.7494 0.3325
Tb 0.5000 0.7506 0.0000
Mg 0.6693 0.0000 0.6614
Mg 0.3307 0.0000 0.3386
Tb 0.1662 0.7494 0.6675
Tb 0.1662 0.2506 0.6675
Tb 0.8338 0.2506 0.3325

(6)
Here is a geometry-optimized SrY3Os structure from Alexandria. Energies are from PBE.

Space group: Pm-3m, No. 221
ΔE_f: -74 meV per atom
Total energy: -6.535 eV/atom
Crystal system: cubic

Cell lengths 5.5217, 5.5217, 5.5217 Å; angles 90.00, 90.00, 90.00 degrees
Element x y z (fractional)
Y 0.0000 0.0000 0.5000
Sr 0.5000 0.5000 0.5000
Y 0.5000 0.0000 0.0000
Y 0.0000 0.5000 0.0000
Os 0.0000 0.0000 0.0000

(7)
Here is a geometry-optimized Pr2TmSn3Rh4 structure from Alexandria. Energies are from PBE.

Space group: P-4m2, No. 115
ΔE_f: -766 meV per atom
Total energy: -6.310 eV/atom
Crystal system: tetragonal

Cell lengths 4.4240, 4.4240, 11.4039 Å; angles 90.00, 90.00, 90.00 degrees
Element x y z (fractional)
Sn 0.0000 0.5000 0.1265
Rh 0.0000 0.5000 0.3560
Pr 0.0000 0.5000 0.7658
Rh 0.5000 0.0000 0.6440
Tm 0.5000 0.5000 0.5000
Pr 0.5000 0.0000 0.2342
Sn 0.0000 0.0000 0.5000
Sn 0.5000 0.0000 0.8735
Rh 0.0000 0.0000 0.0000
Rh 0.5000 0.5000 0.0000

(8)
Here is a geometry-optimized TiAs2IrBr structure from Alexandria. Energies are from PBE.

Space group: P4/mmm, No. 123
Formation energy from raw total energies: 842 meV/atom
Total energy: -4.703 eV/atom
Crystal system: tetragonal

Cell lengths 4.9117, 4.9117, 4.7485 Å; angles 90.00, 90.00, 90.00 degrees
Element x y z (fractional)
Ti 0.0000 0.0000 0.0000
As 0.0000 0.5000 0.0000
Ir 0.5000 0.5000 0.5000
As 0.5000 0.0000 0.0000
Br 0.0000 0.0000 0.5000

(9)
Here is a geometry-optimized BaSrPCl2 structure from Alexandria. Energies are from PBE.

Space group: P4/mmm, No. 123
Formation energy from raw total energies: -1143 meV/atom
Total energy: -3.685 eV/atom
Crystal system: tetragonal

Cell lengths 5.7320, 5.7320, 5.8208 Å; angles 90.00, 90.00, 90.00 degrees
Element x y z (fractional)
Ba 0.0000 0.0000 0.0000
Sr 0.5000 0.5000 0.5000
Cl 0.0000 0.5000 0.0000
P 0.0000 0.0000 0.5000
Cl 0.5000 0.0000 0.0000

(10)
Here is a geometry-optimized NaNb3Mo structure from Alexandria. Energies are from PBE.

Space group: Pm-3m, No. 221
ΔE_f: 1235 meV per atom
Total energy: -7.237 eV/atom
Crystal system: cubic

Cell lengths 4.9199, 4.9199, 4.9199 Å; angles 90.00, 90.00, 90.00 degrees
Element x y z (fractional)
Nb 0.0000 0.0000 0.5000
Nb 0.5000 0.0000 0.0000
Mo 0.0000 0.0000 0.0000
Na 0.5000 0.5000 0.5000
Nb 0.0000 0.5000 0.0000

(11)
Here is a geometry-optimized CoRuRh6 structure from Alexandria. Energies are from PBE.

Space group: C2/m, No. 12
ΔE_f: 524 meV per atom
Total energy: -7.037 eV/atom
Crystal system: monoclinic

Cell lengths 5.5347, 5.5347, 5.3867 Å; angles 104.73, 104.73, 121.60 degrees
Element x y z (fractional)
Rh 0.4818 0.0299 0.2521
Rh 0.7411 0.7411 0.2501
Rh 0.5182 0.9701 0.7479
Rh 0.0299 0.4818 0.2521
Rh 0.9701 0.5182 0.7479
Rh 0.2589 0.2589 0.7499
Co 0.5000 0.5000 0.5000
Ru 0.0000 0.0000 0.0000

(12)
Here is a geometry-optimized LaDy3Au2 structure from Alexandria. Energies are from PBE.

Space group: Pmc2_1, No. 26
ΔE_f: -606 meV per atom
Total energy: -4.821 eV/atom
Crystal system: orthorhombic

Cell lengths 5.0080, 7.2379, 9.0694 Å; angles 90.00, 90.00, 90.00 degrees
Element x y z (fractional)
Au 0.5000 0.7502 0.8541
Dy 0.0000 0.3507 0.3276
Au 0.5000 0.2502 0.1459
Dy 0.5000 0.6493 0.1646
Dy 0.0000 0.8507 0.6724
Dy 0.0000 0.9879 0.0700
La 0.5000 0.0101 0.4246
Au 0.0000 0.7519 0.3398
Au 0.0000 0.2519 0.6602
Dy 0.5000 0.1493 0.8354
Dy 0.0000 0.4879 0.9300
La 0.5000 0.5101 0.5754